# 1
The following is a GGA-PBE calculation of a relaxed HfCoN2 crystal, from the Alexandria database.

Computed properties:
ΔE_f (raw), eV per formula unit: -2.181
Total magnetization, μB per cell: 0.00
D(E_F), states/eV/cell: 6.12

```
data_HfCoN2
_cell_length_a 3.1282
_cell_length_b 3.1282
_cell_length_c 16.0417
_cell_angle_alpha 90.00
_cell_angle_beta 90.00
_cell_angle_gamma 120.00
_symmetry_space_group_name_H-M 'R 3 m'
_symmetry_Int_Tables_number 160
_symmetry_space_group_name_Hall 'R 3 -2"'
loop_
_atom_site_label
_atom_site_fract_x
_atom_site_fract_y
_atom_site_fract_z
Hf1 0.0000 0.0000 0.0000
Co1 0.0000 0.0000 0.1930
N1 0.0000 0.0000 0.3968
N2 0.0000 0.0000 0.5734
```

# 2
The following is a GGA-PBE calculation of a relaxed Hf6CoN crystal, from the Alexandria database.

Computed properties:
ΔE_f (raw), eV per formula unit: -3.263
Total magnetization, μB per cell: 0.00
D(E_F), states/eV/cell: 6.10

```
data_Hf6CoN
_cell_length_a 5.733
_cell_length_b 5.737
_cell_length_c 6.282
_cell_angle_alpha 90.05
_cell_angle_beta 117.07
_cell_angle_gamma 119.98
_symmetry_space_group_name_H-M 'P -1'
_symmetry_Int_Tables_number 2
loop_
_symmetry_equiv_pos_as_xyz
'x,y,z'
'-x,-y,-z'
loop_
_atom_site_label
_atom_site_fract_x
_atom_site_fract_y
_atom_site_fract_z
Hf1 0.030 0.090 0.264
Hf2 0.324 0.734 0.264
Hf3 0.326 0.560 0.736
Co1 0.500 0.000 0.000
N1 0.500 0.500 0.500
```